# 1
# AgBi2Pt

An optimized crystal structure of AgBi2Pt (GGA-PBE, Alexandria via LeMat-Bulk).

The space group is R3m (No. 160, hexagonal axes) and the conventional cell measures 4.3376, 4.3376 and 19.1577 Å, with angles of 90.00, 90.00 and 120.00 degrees. The distinct sites, in fractional coordinates, are Ag at (0.0000, 0.0000, 0.0000), Bi at (0.0000, 0.0000, 0.5655), Bi at (0.0000, 0.0000, 0.7590) and Pt at (0.0000, 0.0000, 0.1579).

As for the total magnetic moment: 0.00 μB/atom. The value obtained for the electronic total energy is -4.217 eV/atom.

=====

# 2
# LaCo2Ru

An optimized crystal structure of LaCo2Ru (GGA-PBE, Alexandria via LeMat-Bulk).

The space group is P2/m (No. 10) and the conventional cell measures 3.007, 4.143 and 5.738 Å, with angles of 90.00, 104.80 and 90.00 degrees. The distinct sites, in fractional coordinates, are La at (0.000, 0.000, 0.000), Co at (0.393, 0.500, 0.677) and Ru at (0.000, 0.000, 0.500).

As for the total magnetic moment: 0.90 μB/atom. The value obtained for the electronic total energy is -6.788 eV/atom.

=====

# 3
# CaAlIr2

An optimized crystal structure of CaAlIr2 (GGA-PBE, Alexandria via LeMat-Bulk).

The space group is Pm (No. 6) and the conventional cell measures 2.931, 4.572 and 5.281 Å, with angles of 90.00, 104.74 and 90.00 degrees. The distinct sites, in fractional coordinates, are Ca at (0.000, 0.000, 0.000), Al at (0.380, 0.500, 0.731), Ir at (0.303, 0.000, 0.511) and Ir at (0.686, 0.500, 0.308).

As for the total magnetic moment: 0.00 μB/atom. The value obtained for the electronic total energy is -6.068 eV/atom.

=====

# 4
# Pa3Ni2Ge3

An optimized crystal structure of Pa3Ni2Ge3 (GGA-PBE, Alexandria via LeMat-Bulk).

The space group is Cmcm (No. 63) and the conventional cell measures 4.134, 10.365 and 14.181 Å, with angles of 90.00, 90.00 and 90.00 degrees. The distinct sites, in fractional coordinates, are Pa at (0.000, 0.078, 0.113), Pa at (0.000, 0.364, 0.250), Ni at (0.000, 0.216, 0.603), Ge at (0.000, 0.348, 0.750) and Ge at (0.000, 0.373, 0.040).

As for the total magnetic moment: 0.00 μB/atom. The value obtained for the electronic total energy is -7.308 eV/atom. For the energy above the most stable polymorph in this dataset, the calculation gives 0.000 eV per atom.

=====

# 5
# Sr4Ce3TaN8

An optimized crystal structure of Sr4Ce3TaN8 (GGA-PBE, Alexandria via LeMat-Bulk).

The space group is R-3m (No. 166, hexagonal axes) and the conventional cell measures 7.0966, 7.0966 and 17.8603 Å, with angles of 90.00, 90.00 and 120.00 degrees. The distinct sites, in fractional coordinates, are Sr at (0.0000, 0.0000, 0.0000), Sr at (0.0000, 0.5000, 0.0000), Ce at (0.0000, 0.5000, 0.5000), Ta at (0.0000, 0.0000, 0.5000), N at (0.0000, 0.0000, 0.2348) and N at (0.0275, 0.5137, 0.2333).

As for the total magnetic moment: 0.01 μB/atom. The value obtained for the electronic total energy is -7.582 eV/atom.

=====

# 6
# Li7Zn2Cd

An optimized crystal structure of Li7Zn2Cd (GGA-PBE, Alexandria via LeMat-Bulk).

The space group is P3m1 (No. 156) and the conventional cell measures 4.4947, 4.4947 and 9.8052 Å, with angles of 90.00, 90.00 and 120.00 degrees. The distinct sites, in fractional coordinates, are Li at (0.0000, 0.0000, 0.0000), Li at (0.0000, 0.0000, 0.2477), Li at (0.0000, 0.0000, 0.5018), Li at (0.3333, 0.6667, 0.3445), Li at (0.3333, 0.6667, 0.9872), Li at (0.6667, 0.3333, 0.5422), Li at (0.6667, 0.3333, 0.8320), Zn at (0.0000, 0.0000, 0.7474), Zn at (0.3333, 0.6667, 0.6737) and Cd at (0.6667, 0.3333, 0.1561).

As for the total magnetic moment: 0.00 μB/atom. The value obtained for the electronic total energy is -1.754 eV/atom. For the energy above the most stable polymorph in this dataset, the calculation gives 0.000 eV per atom.

=====

# 7
# Sr2ScAg2

An optimized crystal structure of Sr2ScAg2 (GGA-PBE, Alexandria via LeMat-Bulk).

The space group is P4/mbm (No. 127) and the conventional cell measures 7.944, 7.944 and 4.780 Å, with angles of 90.00, 90.00 and 90.00 degrees. The distinct sites, in fractional coordinates, are Sr at (0.173, 0.327, 0.000), Sc at (0.000, 0.000, 0.500) and Ag at (0.131, 0.631, 0.500).

As for the total magnetic moment: 0.00 μB/atom. The value obtained for the electronic total energy is -3.198 eV/atom.

=====

# 8
# Mg2Si

An optimized crystal structure of Mg2Si (GGA-PBE, Alexandria via LeMat-Bulk).

The space group is P1 (No. 1) and the conventional cell measures 5.715, 6.341 and 8.192 Å, with angles of 97.96, 107.12 and 114.81 degrees. The distinct sites, in fractional coordinates, are Mg at (0.000, 0.000, 0.000), Mg at (0.007, 0.105, 0.376), Mg at (0.358, 0.979, 0.739), Mg at (0.394, 0.495, 0.764), Mg at (0.467, 0.012, 0.388), Mg at (0.669, 0.374, 0.137), Mg at (0.679, 0.598, 0.500), Mg at (0.921, 0.468, 0.854), Si at (0.138, 0.586, 0.443), Si at (0.263, 0.510, 0.185), Si at (0.476, 0.859, 0.058) and Si at (0.906, 0.074, 0.679).

As for the total magnetic moment: 0.00 μB/atom. The value obtained for the electronic total energy is -2.851 eV/atom.